# 1
The following is a GGA-PBE calculation of an optimized crystal structure of BaTbC2O6, from Alexandria.

Cell: 8.277 9.897 7.087 Å, 90.00 110.65 90.00°
Space group C2/c (No. 15)
Unique sites:
Ba: 0.000 0.138 0.250
Tb: 0.000 0.413 0.750
C: 0.248 0.120 0.750
O: 0.096 0.386 0.104
O: 0.167 0.236 0.703
O: 0.215 0.020 0.617

- E_form (uncorrected): -2.118 eV/atom



# 2
The following is a GGA-PBE calculation of an optimized crystal structure of In3Hg, from Alexandria.

Cell: 3.3700 3.3700 10.9034 Å, 90.00 90.00 120.00°
Space group P-6m2 (No. 187)
Unique sites:
In: 0.0000 0.0000 0.0000
In: 0.6667 0.3333 0.2555
Hg: 0.0000 0.0000 0.5000

- Energy relative to the elements: 8 kJ/mol of formula units



# 3
The following is a GGA-PBE calculation of an optimized crystal structure of Tb2PmDy8, from Alexandria.

Cell: 19.047 6.950 5.545 Å, 90.00 92.95 90.00°
Space group C2/m (No. 12)
Unique sites:
Tb: 0.216 0.000 0.252
Pm: 0.000 0.500 0.000
Dy: 0.047 0.000 0.237
Dy: 0.132 0.234 0.732
Dy: 0.188 0.500 0.233

- Offset from the most stable computed form: 41.4 meV/atom
- Energy relative to the elements: 164 kJ/mol of formula units



# 4
The following is a GGA-PBE calculation of an optimized crystal structure of IrSe2, from Alexandria.

Cell: 4.2273 4.2273 7.4018 Å, 90.00 90.00 120.00°
Space group P6_3/mmc (No. 194)
Unique sites:
Ir: 0.3333 0.6667 0.2500
Se: 0.0000 0.0000 0.0000
Se: 0.3333 0.6667 0.7500

- E_form (uncorrected): 0.596 eV/atom



# 5
The following is a GGA-PBE calculation of an optimized crystal structure of N, from Alexandria.

Cell: 3.9507 3.9507 6.4301 Å, 90.00 90.00 120.00°
Space group P6_3/mmc (No. 194)
Unique sites:
N: 0.3333 0.6667 0.2500

- E_form (uncorrected): 5.202 eV/atom
- Offset from the most stable computed form: 5201.8 meV/atom



# 6
The following is a GGA-PBE calculation of an optimized crystal structure of Ba4Sr2Zn, from Alexandria.

Cell: 6.411 6.411 21.062 Å, 90.00 90.00 90.00°
Space group I4/mmm (No. 139)
Unique sites:
Ba: 0.000 0.000 0.162
Ba: 0.000 0.500 0.000
Sr: 0.000 0.000 0.363
Zn: 0.000 0.000 0.000

- Energy relative to the elements: 82 kJ/mol of formula units



# 7
The following is a GGA-PBE calculation of an optimized crystal structure of Na2P7Ru12, from Alexandria.

Cell: 9.4447 9.4447 3.9065 Å, 90.00 90.00 120.00°
Space group P-6 (No. 174)
Unique sites:
Na: 0.0000 0.0000 0.0000
Na: 0.3333 0.6667 0.5000
P: 0.0813 0.4377 0.0000
P: 0.2696 0.2246 0.5000
P: 0.6667 0.3333 0.0000
Ru: 0.0567 0.2825 0.5000
Ru: 0.0961 0.6894 0.0000
Ru: 0.3942 0.1789 0.0000
Ru: 0.5493 0.4212 0.5000

- Energy relative to the elements: -949 kJ/mol of formula units



# 8
The following is a GGA-PBE calculation of an optimized crystal structure of Mn4Rh, from Alexandria.

Cell: 5.681 5.681 3.576 Å, 90.00 90.00 90.00°
Space group I4/m (No. 87)
Unique sites:
Mn: 0.095 0.308 0.000
Rh: 0.000 0.000 0.500

- Energy relative to the elements: 41 kJ/mol of formula units



# 9
The following is a GGA-PBE calculation of an optimized crystal structure of SiAg2Pb, from Alexandria.

Cell: 3.3654 3.3654 25.8069 Å, 90.00 90.00 120.00°
Space group R3m (No. 160, hexagonal axes)
Unique sites:
Si: 0.0000 0.0000 0.0000
Ag: 0.0000 0.0000 0.4831
Ag: 0.0000 0.0000 0.7340
Pb: 0.0000 0.0000 0.2437

- E_form (uncorrected): 0.330 eV/atom
- Offset from the most stable computed form: 63.9 meV/atom



# 10
The following is a GGA-PBE calculation of an optimized crystal structure of BaTaSe2, from Alexandria.

Cell: 7.421 7.421 7.421 Å, 90.00 90.00 90.00°
Space group F-43m (No. 216)
Unique sites:
Ba: 0.000 0.000 0.000
Ta: 0.250 0.250 0.750
Se: 0.000 0.000 0.500
Se: 0.250 0.250 0.250

- E_form (uncorrected): 0.498 eV/atom
- Offset from the most stable computed form: 1320.8 meV/atom



# 11
The following is a GGA-PBE calculation of an optimized crystal structure of ErTm2PaRu4, from Alexandria.

Cell: 4.8531 4.8531 22.7763 Å, 90.00 90.00 120.00°
Space group R-3m (No. 166, hexagonal axes)
Unique sites:
Er: 0.0000 0.0000 0.0000
Tm: 0.0000 0.0000 0.2535
Pa: 0.0000 0.0000 0.5000
Ru: 0.0000 0.0000 0.1279
Ru: 0.0000 0.0000 0.3835

- Energy relative to the elements: -435 kJ/mol of formula units



# 12
The following is a GGA-PBE calculation of an optimized crystal structure of Cs2MgAsSe4, from Alexandria.

Cell: 6.396 14.821 26.030 Å, 90.00 90.00 90.00°
Space group Fddd (No. 70, origin choice 2)
Unique sites:
Cs: 0.125 0.125 0.304
Mg: 0.125 0.125 0.125
As: 0.125 0.125 0.625
Se: 0.112 0.278 0.823

- E_form (uncorrected): -0.830 eV/atom